# 1
# Th8Os3Se3N (PBE, optimized geometry)
data_Th8Os3Se3N
_chemical_formula_sum 'Th8 Os3 Se3 N1'
_cell_length_a 8.174
_cell_length_b 8.153
_cell_length_c 8.605
_cell_angle_alpha 118.20
_cell_angle_beta 90.00
_cell_angle_gamma 120.09
_symmetry_space_group_name_H-M 'P 1'
_symmetry_Int_Tables_number 1
loop_
_symmetry_equiv_pos_as_xyz
'x,y,z'
loop_
_atom_site_label
_atom_site_fract_x
_atom_site_fract_y
_atom_site_fract_z
_atom_site_occupancy
Th1 0.261 0.523 0.284 1
Th2 0.739 0.477 0.716 1
Th3 0.774 0.549 0.294 1
Th4 0.226 0.451 0.706 1
Th5 0.772 0.021 0.293 1
Th6 0.228 0.979 0.707 1
Th7 0.249 0.021 0.293 1
Th8 0.751 0.979 0.707 1
Os1 0.500 0.000 0.500 1
Os2 0.500 0.500 0.500 1
Os3 0.000 0.500 0.500 1
Se1 0.000 0.000 0.000 1
Se2 0.000 0.500 0.000 1
Se3 0.500 0.500 0.000 1
N1 0.000 0.000 0.500 1
# Formation energy without anion corrections: -0.853 eV per atom
# Total DFT energy (no corrections): -0.611 Ry/atom
# Space-group type: C2/m, No. 12


# 2
# TiOsSeN2 (PBE, optimized geometry)
data_TiOsSeN2
_chemical_formula_sum 'Ti1 Os1 Se1 N2'
_cell_length_a 3.792
_cell_length_b 3.792
_cell_length_c 5.352
_cell_angle_alpha 90.00
_cell_angle_beta 90.00
_cell_angle_gamma 90.00
_symmetry_space_group_name_H-M 'P 1'
_symmetry_Int_Tables_number 1
loop_
_symmetry_equiv_pos_as_xyz
'x,y,z'
loop_
_atom_site_label
_atom_site_fract_x
_atom_site_fract_y
_atom_site_fract_z
_atom_site_occupancy
N1 0.000 0.500 0.000 1
N2 0.500 0.000 0.000 1
Os1 0.000 0.000 0.000 1
Se1 0.000 0.000 0.500 1
Ti1 0.500 0.500 0.500 1
# Formation energy without anion corrections: 0.503 eV per atom
# Energy above the most stable polymorph in this dataset: 0.000 eV/atom
# Total DFT energy (no corrections): -0.540 Ry/atom
# Space-group type: P4/mmm, No. 123


# 3
# TiOsSe2N (PBE, optimized geometry)
data_TiOsSe2N
_chemical_formula_sum 'Ti1 Os1 Se2 N1'
_cell_length_a 5.055
_cell_length_b 5.055
_cell_length_c 3.664
_cell_angle_alpha 90.00
_cell_angle_beta 90.00
_cell_angle_gamma 90.00
_symmetry_space_group_name_H-M 'P 1'
_symmetry_Int_Tables_number 1
loop_
_symmetry_equiv_pos_as_xyz
'x,y,z'
loop_
_atom_site_label
_atom_site_fract_x
_atom_site_fract_y
_atom_site_fract_z
_atom_site_occupancy
N1 0.000 0.000 0.500 1
Os1 0.000 0.000 0.000 1
Se1 0.000 0.500 0.000 1
Se2 0.500 0.000 0.000 1
Ti1 0.500 0.500 0.500 1
# Formation energy without anion corrections: 0.347 eV per atom
# Energy above the most stable polymorph in this dataset: 0.000 eV/atom
# Total DFT energy (no corrections): -0.480 Ry/atom
# Space-group type: P4/mmm, No. 123


# 4
# TiOsSeN2 (PBE, optimized geometry)
data_TiOsSeN2
_chemical_formula_sum 'Ti1 Os1 Se1 N2'
_cell_length_a 3.825
_cell_length_b 3.825
_cell_length_c 5.351
_cell_angle_alpha 90.00
_cell_angle_beta 90.00
_cell_angle_gamma 90.00
_symmetry_space_group_name_H-M 'P 1'
_symmetry_Int_Tables_number 1
loop_
_symmetry_equiv_pos_as_xyz
'x,y,z'
loop_
_atom_site_label
_atom_site_fract_x
_atom_site_fract_y
_atom_site_fract_z
_atom_site_occupancy
N1 0.000 0.500 0.000 1
N2 0.500 0.000 0.000 1
Os1 0.500 0.500 0.500 1
Se1 0.000 0.000 0.500 1
Ti1 0.000 0.000 0.000 1
# Formation energy without anion corrections: 1.056 eV per atom
# Energy above the most stable polymorph in this dataset: 0.552 eV/atom
# Total DFT energy (no corrections): -0.499 Ry/atom
# Space-group type: P4/mmm, No. 123


# 5
# TiOsSe2N (PBE, optimized geometry)
data_TiOsSe2N
_chemical_formula_sum 'Ti1 Os1 Se2 N1'
_cell_length_a 5.013
_cell_length_b 5.013
_cell_length_c 3.593
_cell_angle_alpha 90.00
_cell_angle_beta 90.00
_cell_angle_gamma 90.00
_symmetry_space_group_name_H-M 'P 1'
_symmetry_Int_Tables_number 1
loop_
_symmetry_equiv_pos_as_xyz
'x,y,z'
loop_
_atom_site_label
_atom_site_fract_x
_atom_site_fract_y
_atom_site_fract_z
_atom_site_occupancy
N1 0.000 0.000 0.500 1
Os1 0.500 0.500 0.500 1
Se1 0.000 0.500 0.000 1
Se2 0.500 0.000 0.000 1
Ti1 0.000 0.000 0.000 1
# Formation energy without anion corrections: 0.782 eV per atom
# Energy above the most stable polymorph in this dataset: 0.435 eV/atom
# Total DFT energy (no corrections): -0.448 Ry/atom
# Space-group type: P4/mmm, No. 123


# 6
# TlOsSeN2 (PBE, optimized geometry)
data_TlOsSeN2
_chemical_formula_sum 'Tl1 Os1 Se1 N2'
_cell_length_a 4.110
_cell_length_b 4.110
_cell_length_c 6.137
_cell_angle_alpha 90.00
_cell_angle_beta 90.00
_cell_angle_gamma 90.00
_symmetry_space_group_name_H-M 'P 1'
_symmetry_Int_Tables_number 1
loop_
_symmetry_equiv_pos_as_xyz
'x,y,z'
loop_
_atom_site_label
_atom_site_fract_x
_atom_site_fract_y
_atom_site_fract_z
_atom_site_occupancy
Tl1 0.000 0.000 0.000 1
Os1 0.500 0.500 0.500 1
Se1 0.000 0.000 0.500 1
N1 0.000 0.500 0.000 1
N2 0.500 0.000 0.000 1
# Formation energy without anion corrections: 2.647 eV per atom
# Energy above the most stable polymorph in this dataset: 2.052 eV/atom
# Total DFT energy (no corrections): -0.301 Ry/atom
# Space-group type: P4/mmm, No. 123


# 7
# TlOsSe2N (PBE, optimized geometry)
data_TlOsSe2N
_chemical_formula_sum 'Tl1 Os1 Se2 N1'
_cell_length_a 5.265
_cell_length_b 5.265
_cell_length_c 3.709
_cell_angle_alpha 90.00
_cell_angle_beta 90.00
_cell_angle_gamma 90.00
_symmetry_space_group_name_H-M 'P 1'
_symmetry_Int_Tables_number 1
loop_
_symmetry_equiv_pos_as_xyz
'x,y,z'
loop_
_atom_site_label
_atom_site_fract_x
_atom_site_fract_y
_atom_site_fract_z
_atom_site_occupancy
Tl1 0.500 0.500 0.500 1
Os1 0.000 0.000 0.000 1
Se1 0.000 0.500 0.000 1
Se2 0.500 0.000 0.000 1
N1 0.000 0.000 0.500 1
# Formation energy without anion corrections: 0.245 eV per atom
# Energy above the most stable polymorph in this dataset: 0.000 eV/atom
# Total DFT energy (no corrections): -0.407 Ry/atom
# Space-group type: P4/mmm, No. 123


# 8
# TlOsSeN2 (PBE, optimized geometry)
data_TlOsSeN2
_chemical_formula_sum 'Tl1 Os1 Se1 N2'
_cell_length_a 3.907
_cell_length_b 3.907
_cell_length_c 5.459
_cell_angle_alpha 90.00
_cell_angle_beta 90.00
_cell_angle_gamma 90.00
_symmetry_space_group_name_H-M 'P 1'
_symmetry_Int_Tables_number 1
loop_
_symmetry_equiv_pos_as_xyz
'x,y,z'
loop_
_atom_site_label
_atom_site_fract_x
_atom_site_fract_y
_atom_site_fract_z
_atom_site_occupancy
Tl1 0.500 0.500 0.500 1
Os1 0.000 0.000 0.000 1
Se1 0.000 0.000 0.500 1
N1 0.000 0.500 0.000 1
N2 0.500 0.000 0.000 1
# Formation energy without anion corrections: 0.594 eV per atom
# Energy above the most stable polymorph in this dataset: 0.000 eV/atom
# Total DFT energy (no corrections): -0.452 Ry/atom
# Space-group type: P4/mmm, No. 123


In order of appearance, DOS(E_F) = 12.29, 6.58, 7.37, 4.20, 5.33, 4.28, 3.48, 3.24 states/eV/f.u..